No. 1
# LiGdHoHg (PBE, relaxed)
data_LiGdHoHg
_cell_length_a 5.235
_cell_length_b 5.235
_cell_length_c 5.235
_cell_angle_alpha 60.00
_cell_angle_beta 60.00
_cell_angle_gamma 60.00
_symmetry_space_group_name_H-M 'P 1'
_symmetry_Int_Tables_number 1
loop_
_symmetry_equiv_pos_as_xyz
'x,y,z'
loop_
_atom_site_label
_atom_site_type_symbol
_atom_site_fract_x
_atom_site_fract_y
_atom_site_fract_z
Li1 Li 0.000 0.000 0.000
Hg1 Hg 0.500 0.500 0.500
Gd1 Gd 0.250 0.250 0.250
Ho1 Ho 0.750 0.750 0.750
# - energy of formation from the pure elements (eV per atom) = -0.218
# - magnetic moment (μB per formula unit) = 7.69
# - calculated total energy (eV per cell) = -21.746

No. 2
# GdHoLuHg (PBE, relaxed)
data_GdHoLuHg
_cell_length_a 5.380
_cell_length_b 5.380
_cell_length_c 5.380
_cell_angle_alpha 60.00
_cell_angle_beta 60.00
_cell_angle_gamma 60.00
_symmetry_space_group_name_H-M 'P 1'
_symmetry_Int_Tables_number 1
loop_
_symmetry_equiv_pos_as_xyz
'x,y,z'
loop_
_atom_site_label
_atom_site_type_symbol
_atom_site_fract_x
_atom_site_fract_y
_atom_site_fract_z
Lu1 Lu 0.750 0.750 0.750
Gd1 Gd 0.000 0.000 0.000
Ho1 Ho 0.500 0.500 0.500
Hg1 Hg 0.250 0.250 0.250
# - energy of formation from the pure elements (eV per atom) = -0.075
# - magnetic moment (μB per formula unit) = 7.80
# - calculated total energy (eV per cell) = -23.782

No. 3
# GdHoMnHg (PBE, relaxed)
data_GdHoMnHg
_cell_length_a 5.177
_cell_length_b 5.177
_cell_length_c 5.177
_cell_angle_alpha 60.00
_cell_angle_beta 60.00
_cell_angle_gamma 60.00
_symmetry_space_group_name_H-M 'P 1'
_symmetry_Int_Tables_number 1
loop_
_symmetry_equiv_pos_as_xyz
'x,y,z'
loop_
_atom_site_label
_atom_site_type_symbol
_atom_site_fract_x
_atom_site_fract_y
_atom_site_fract_z
Hg1 Hg 0.500 0.500 0.500
Mn1 Mn 0.000 0.000 0.000
Ho1 Ho 0.750 0.750 0.750
Gd1 Gd 0.250 0.250 0.250
# - energy of formation from the pure elements (eV per atom) = -0.057
# - magnetic moment (μB per formula unit) = 10.60
# - calculated total energy (eV per cell) = -28.358